No. 1
Here is a relaxed Cu2SbTe crystal from Alexandria. Energies are from PBE.

```
Cu2SbTe
1.0
2.0427 1.1793 5.8747
-2.0427 1.1793 5.8747
0.0000 -2.3587 5.8747
Cu Sb Te
2 1 1
Direct
0.0000 0.0000 0.0000
0.1492 0.1492 0.1492
0.4039 0.4039 0.4039
0.5775 0.5775 0.5775
```

Summary:
Total energy (eV for the cell shown): -15.051
Calculated density (Mg/m³): 7.36
ΔE_f (raw) (kJ/mol of formula units): 39
Crystal system: trigonal

No. 2
Here is a relaxed Cu2SbTe crystal from Alexandria. Energies are from PBE.

```
Cu2SbTe
1.0
3.6401 0.0000 0.0000
0.0000 3.6401 0.0000
0.0000 0.0000 6.1127
Cu Sb Te
2 1 1
Direct
0.0000 0.0000 0.2168
0.0000 0.0000 0.7832
0.5000 0.5000 0.0000
0.5000 0.5000 0.5000
```

Summary:
Total energy (eV for the cell shown): -14.220
Calculated density (Mg/m³): 7.72
ΔE_f (raw) (kJ/mol of formula units): 119
Crystal system: tetragonal

No. 3
Here is a relaxed CuSbTe2 crystal from Alexandria. Energies are from PBE.

```
CuSbTe2
1.0
4.2933 0.0000 0.0000
0.0000 3.9466 0.0000
-2.0952 0.0000 7.0060
Cu Sb Te
1 1 2
Direct
0.0000 0.0000 0.0000
0.4376 0.5000 0.8900
0.0160 0.5000 0.2280
0.6905 0.0000 0.6447
```

Summary:
Total energy (eV for the cell shown): -14.326
Calculated density (Mg/m³): 6.16
ΔE_f (raw) (kJ/mol of formula units): 17
Crystal system: monoclinic

No. 4
Here is a relaxed CuSb2Te4 crystal from Alexandria. Energies are from PBE.

```
CuSb2Te4
1.0
7.1398 0.0000 0.0000
0.0000 7.9400 0.0000
-3.4700 0.0000 7.7728
Cu Sb Te
2 4 8
Direct
0.0729 0.2500 0.2618
0.9271 0.7500 0.7382
0.0554 0.2500 0.9188
0.2497 0.7500 0.5449
0.7503 0.2500 0.4551
0.9446 0.7500 0.0812
0.1803 0.2500 0.6132
0.2810 0.5172 0.2571
0.2810 0.9828 0.2571
0.3165 0.7500 0.9062
0.6835 0.2500 0.0938
0.7190 0.0172 0.7429
0.7190 0.4828 0.7429
0.8197 0.7500 0.3868
```

Summary:
Total energy (eV for the cell shown): -48.815
Calculated density (Mg/m³): 6.16
ΔE_f (raw) (kJ/mol of formula units): 48
Crystal system: monoclinic

Copy entry 1 word for word.
Here is a relaxed Cu2SbTe crystal from Alexandria. Energies are from PBE.

```
Cu2SbTe
1.0
2.0427 1.1793 5.8747
-2.0427 1.1793 5.8747
0.0000 -2.3587 5.8747
Cu Sb Te
2 1 1
Direct
0.0000 0.0000 0.0000
0.1492 0.1492 0.1492
0.4039 0.4039 0.4039
0.5775 0.5775 0.5775
```

Summary:
Total energy (eV for the cell shown): -15.051
Calculated density (Mg/m³): 7.36
ΔE_f (raw) (kJ/mol of formula units): 39
Crystal system: trigonal

> Look up the calculated density of the fourth one.

6.16 Mg/m³